--- 1 ---
Density functional theory data (GGA-PBE) for a geometry-optimized Pm4SnIr structure.

Space group ... C2/c (15)

POSCAR file:
```
Pm4SnIr
1.0
6.150 -0.362 0.000
-2.013 8.411 0.000
-2.068 -4.025 6.952
Sn Pm Ir
2 8 2
Cartesian
1.537 -0.090 5.193
0.531 4.115 1.759
-1.188 1.862 5.976
2.032 3.085 4.513
0.036 0.940 2.438
-1.887 -1.681 5.976
-0.970 5.146 4.513
3.257 2.163 0.976
3.955 5.706 0.976
3.038 -1.121 2.438
1.537 -0.090 0.010
0.531 4.115 6.942
```



--- 2 ---
Density functional theory data (GGA-PBE) for a geometry-optimized Pm4SnIr structure.

Space group ... F-43m (216)

POSCAR file:
```
Pm4SnIr
1.0
8.600 0.000 4.965
2.867 8.108 4.965
0.000 0.000 9.930
Pm Ir Sn
16 4 4
Cartesian
6.394 4.521 14.895
5.733 6.476 9.930
2.223 1.572 9.930
4.592 3.247 11.907
9.702 4.521 16.805
7.488 1.572 6.890
8.016 3.247 9.930
3.978 6.536 6.890
7.488 1.572 12.970
7.497 7.640 12.985
7.497 7.640 16.805
4.592 3.247 7.953
3.978 6.536 12.970
9.702 4.521 12.985
9.243 6.536 9.930
10.805 7.640 14.895
6.976 4.933 12.082
5.733 1.418 9.930
3.248 4.933 9.930
6.976 4.933 7.778
1.859 1.315 6.710
1.859 1.315 3.220
4.881 1.315 4.965
2.867 4.164 4.965
```



Stability, lowest: 1